[1]
Compound: SrPtPb3
Source: Alexandria via LeMat-Bulk
Functional: PBE
Structure: optimized geometry

The structure belongs to space group Pm-3m (No. 221); the cell edges are 5.9523, 5.9523 and 5.9523 Å and the angles 90.00°, 90.00° and 90.00°. The asymmetric unit holds Sr at (0.0000, 0.0000, 0.0000), Pt at (0.5000, 0.5000, 0.5000) and Pb at (0.0000, 0.0000, 0.5000).

For the calculated total energy, the calculation gives -2.46 eV/atom.


[2]
Compound: ErTmGaPt
Source: Alexandria via LeMat-Bulk
Functional: PBE
Structure: optimized geometry

The structure belongs to space group F-43m (No. 216); the cell edges are 6.9989, 6.9989 and 6.9989 Å and the angles 90.00°, 90.00° and 90.00°. The asymmetric unit holds Er at (0.0000, 0.0000, 0.0000), Tm at (0.0000, 0.0000, 0.5000), Ga at (0.2500, 0.2500, 0.2500) and Pt at (0.2500, 0.2500, 0.7500).

For the calculated total energy, the calculation gives -5.43 eV/atom.


[3]
Compound: TaTl2CdS4
Source: Alexandria via LeMat-Bulk
Functional: PBE
Structure: optimized geometry

The structure belongs to space group I-4 (No. 82); the cell edges are 7.6860, 7.6860 and 7.9568 Å and the angles 90.00°, 90.00° and 90.00°. The asymmetric unit holds Ta at (0.0000, 0.0000, 0.0000), Tl at (0.0000, 0.0000, 0.5000), Tl at (0.0000, 0.5000, 0.7500), Cd at (0.0000, 0.5000, 0.2500) and S at (0.1525, 0.8043, 0.1613).

For the calculated total energy, the calculation gives -4.81 eV/atom.


[4]
Compound: CoPtSe
Source: Alexandria via LeMat-Bulk
Functional: PBE
Structure: optimized geometry

The structure belongs to space group Imm2 (No. 44); the cell edges are 2.9967, 3.2216 and 9.1654 Å and the angles 90.00°, 90.00° and 90.00°. The asymmetric unit holds Co at (0.0000, 0.0000, 0.0000), Pt at (0.0000, 0.0000, 0.3165) and Se at (0.0000, 0.0000, 0.6041).

For the calculated total energy, the calculation gives -5.35 eV/atom.


[5]
Compound: Na3Hf2AuSe6
Source: Alexandria via LeMat-Bulk
Functional: PBE
Structure: optimized geometry

The structure belongs to space group C2/m (No. 12); the cell edges are 18.2134, 3.8940 and 8.2780 Å and the angles 90.00°, 101.12° and 90.00°. The asymmetric unit holds Na at (0.0000, 0.0000, 0.0000), Na at (0.1439, 0.5000, 0.3448), Hf at (0.1692, 0.5000, 0.8271), Au at (0.0000, 0.0000, 0.5000), Se at (0.0240, 0.5000, 0.7348), Se at (0.1716, 0.0000, 0.0627) and Se at (0.1911, 0.0000, 0.6261).

For the calculated total energy, the calculation gives -5.07 eV/atom.


[6]
Compound: InGaB3
Source: Alexandria via LeMat-Bulk
Functional: PBE
Structure: optimized geometry

The structure belongs to space group Pm-3m (No. 221); the cell edges are 4.2467, 4.2467 and 4.2467 Å and the angles 90.00°, 90.00° and 90.00°. The asymmetric unit holds In at (0.0000, 0.0000, 0.0000), Ga at (0.5000, 0.5000, 0.5000) and B at (0.0000, 0.5000, 0.5000).

For the calculated total energy, the calculation gives -3.43 eV/atom.


[7]
Compound: Nd4DyIn2
Source: Alexandria via LeMat-Bulk
Functional: PBE
Structure: optimized geometry

The structure belongs to space group I4/mmm (No. 139); the cell edges are 5.9735, 5.9735 and 12.9247 Å and the angles 90.00°, 90.00° and 90.00°. The asymmetric unit holds Nd at (0.0000, 0.5000, 0.0000), Nd at (0.0000, 0.5000, 0.2500), Dy at (0.0000, 0.0000, 0.0000) and In at (0.0000, 0.0000, 0.3776).

For the calculated total energy, the calculation gives -4.07 eV/atom.


[8]
Compound: Pu2TeCl4
Source: Alexandria via LeMat-Bulk
Functional: PBE
Structure: optimized geometry

The structure belongs to space group P2_1/m (No. 11); the cell edges are 7.6429, 6.2867 and 8.1483 Å and the angles 90.00°, 111.08° and 90.00°. The asymmetric unit holds Pu at (0.0213, 0.2500, 0.2659), Pu at (0.4192, 0.2500, 0.8529), Te at (0.0204, 0.7500, 0.3610), Cl at (0.2403, 0.9997, 0.0554), Cl at (0.3628, 0.7500, 0.7699) and Cl at (0.3829, 0.2500, 0.5080).

For the calculated total energy, the calculation gives -7.17 eV/atom.


> What is the formula in the sixth record?

InGaB3


> Which value of calculated total energy does entry 7 give?

-4.07 eV/atom


> Among the records above, which one has the highest calculated total energy?

SrPtPb3


> calculated total energy of number 2 (ErTmGaPt)?

-5.43 eV/atom